(1)
First-principles (PBE-GGA) data for a geometry-optimized Pr4ThMg5 structure, as listed in Alexandria.

Values from the calculation:
space group: P4/mmm, No. 123
calculated formation energy: -73 meV per atom

Unit cell a=3.894 b=3.894 c=19.526 alpha=90.00 beta=90.00 gamma=90.00
Sites, in units of the cell vectors:
Pr 0.000 0.000 0.101
Pr 0.000 0.000 0.303
Pr 0.000 0.000 0.697
Pr 0.000 0.000 0.899
Th 0.000 0.000 0.500
Mg 0.500 0.500 0.000
Mg 0.500 0.500 0.201
Mg 0.500 0.500 0.402
Mg 0.500 0.500 0.598
Mg 0.500 0.500 0.799

(2)
First-principles (PBE-GGA) data for a geometry-optimized CeY3Tl4Se8 structure, as listed in Alexandria.

Values from the calculation:
space group: R-3m, No. 166
raw formation energy: -1.3732 eV per atom

Unit cell a=9.173 b=9.173 c=9.173 alpha=54.97 beta=54.97 gamma=54.97
Sites, in units of the cell vectors:
Ce 0.000 0.000 0.000
Y 0.000 0.500 0.500
Y 0.500 0.000 0.500
Y 0.500 0.500 0.000
Tl 0.000 0.000 0.500
Tl 0.000 0.500 0.000
Tl 0.500 0.000 0.000
Tl 0.500 0.500 0.500
Se 0.239 0.239 0.728
Se 0.239 0.728 0.239
Se 0.265 0.265 0.265
Se 0.272 0.761 0.761
Se 0.728 0.239 0.239
Se 0.735 0.735 0.735
Se 0.761 0.272 0.761
Se 0.761 0.761 0.272

(3)
First-principles (PBE-GGA) data for a geometry-optimized InNiCSe2 structure, as listed in Alexandria.

Values from the calculation:
space group: P4/mmm, No. 123
raw formation energy: 1.4024 eV per atom

Unit cell a=4.574 b=4.574 c=4.912 alpha=90.00 beta=90.00 gamma=90.00
Sites, in units of the cell vectors:
In 0.000 0.000 0.000
Ni 0.000 0.000 0.500
C 0.500 0.500 0.000
Se 0.000 0.500 0.500
Se 0.500 0.000 0.500

(4)
First-principles (PBE-GGA) data for a geometry-optimized Ac4TePb2Se structure, as listed in Alexandria.

Values from the calculation:
space group: P2/m, No. 10
raw formation energy: -1.1105 eV per atom

Unit cell a=8.168 b=4.788 c=8.320 alpha=90.00 beta=109.71 gamma=90.00
Sites, in units of the cell vectors:
Ac 0.246 0.000 0.242
Ac 0.250 0.500 0.756
Ac 0.750 0.500 0.244
Ac 0.754 0.000 0.758
Te 0.500 0.500 0.500
Pb 0.000 0.000 0.500
Pb 0.000 0.500 0.000
Se 0.500 0.000 0.000

(5)
First-principles (PBE-GGA) data for a geometry-optimized Ce3InGe2 structure, as listed in Alexandria.

Values from the calculation:
space group: P2/m, No. 10
calculated formation energy: -547 meV per atom

Unit cell a=5.563 b=3.261 c=8.138 alpha=90.00 beta=97.99 gamma=90.00
Sites, in units of the cell vectors:
Ce 0.000 0.000 0.000
Ce 0.292 0.000 0.646
Ce 0.708 0.000 0.354
In 0.500 0.500 0.000
Ge 0.202 0.500 0.316
Ge 0.798 0.500 0.684

(6)
First-principles (PBE-GGA) data for a geometry-optimized NaZn2Au4 structure, as listed in Alexandria.

Values from the calculation:
space group: I4/mmm, No. 139
calculated formation energy: -260 meV per atom

Unit cell a=5.586 b=5.586 c=5.586 alpha=103.28 beta=103.28 gamma=122.73
Sites, in units of the cell vectors:
Na 0.000 0.000 0.000
Zn 0.250 0.750 0.500
Zn 0.750 0.250 0.500
Au 0.297 0.297 0.594
Au 0.297 0.703 0.000
Au 0.703 0.297 0.000
Au 0.703 0.703 0.406

(7)
First-principles (PBE-GGA) data for a geometry-optimized LaCe2Hg5 structure, as listed in Alexandria.

Values from the calculation:
space group: I4/mmm, No. 139
calculated formation energy: -366 meV per atom

Unit cell a=8.672 b=8.672 c=8.672 alpha=144.64 beta=144.64 gamma=50.87
Sites, in units of the cell vectors:
La 0.000 0.000 0.000
Ce 0.267 0.267 0.000
Ce 0.733 0.733 0.000
Hg 0.124 0.624 0.500
Hg 0.376 0.876 0.500
Hg 0.500 0.500 0.000
Hg 0.624 0.124 0.500
Hg 0.876 0.376 0.500

(8)
First-principles (PBE-GGA) data for a geometry-optimized Pr2Tm5Th2 structure, as listed in Alexandria.

Values from the calculation:
space group: C2/m, No. 12
calculated formation energy: 246 meV per atom

Unit cell a=11.232 b=11.232 c=8.097 alpha=98.92 beta=98.92 gamma=17.78
Sites, in units of the cell vectors:
Pr 0.178 0.178 0.145
Pr 0.822 0.822 0.855
Tm 0.000 0.000 0.000
Tm 0.091 0.091 0.725
Tm 0.308 0.308 0.458
Tm 0.692 0.692 0.542
Tm 0.909 0.909 0.275
Th 0.449 0.449 0.649
Th 0.551 0.551 0.351

(9)
First-principles (PBE-GGA) data for a geometry-optimized Al2Tc2O5 structure, as listed in Alexandria.

Values from the calculation:
space group: P4/mmm, No. 123
raw formation energy: -1.4077 eV per atom

Unit cell a=3.573 b=3.573 c=7.402 alpha=90.00 beta=90.00 gamma=90.00
Sites, in units of the cell vectors:
Al 0.000 0.000 0.249
Al 0.000 0.000 0.751
Tc 0.500 0.500 0.000
Tc 0.500 0.500 0.500
O 0.000 0.000 0.500
O 0.000 0.500 0.175
O 0.000 0.500 0.825
O 0.500 0.000 0.175
O 0.500 0.000 0.825

(10)
First-principles (PBE-GGA) data for a geometry-optimized BaTcCl6 structure, as listed in Alexandria.

Values from the calculation:
space group: P-1, No. 2
raw formation energy: -1.3563 eV per atom

Unit cell a=6.699 b=6.707 c=7.286 alpha=90.04 beta=117.31 gamma=119.89
Sites, in units of the cell vectors:
Ba 0.000 0.000 0.000
Tc 0.000 0.500 0.500
Cl 0.166 0.477 0.279
Cl 0.197 0.311 0.720
Cl 0.408 0.885 0.721
Cl 0.592 0.115 0.279
Cl 0.803 0.689 0.280
Cl 0.834 0.523 0.721

(11)
First-principles (PBE-GGA) data for a geometry-optimized HoNi7Ge2 structure, as listed in Alexandria.

Values from the calculation:
space group: Cmmm, No. 65
calculated formation energy: 81 meV per atom

Unit cell a=6.571 b=6.571 c=4.315 alpha=90.00 beta=90.00 gamma=119.98
Sites, in units of the cell vectors:
Ho 0.000 0.000 0.000
Ni 0.069 0.298 0.500
Ni 0.229 0.771 0.000
Ni 0.298 0.069 0.500
Ni 0.500 0.500 0.500
Ni 0.702 0.931 0.500
Ni 0.771 0.229 0.000
Ni 0.931 0.702 0.500
Ge 0.299 0.701 0.500
Ge 0.701 0.299 0.500

(12)
First-principles (PBE-GGA) data for a geometry-optimized RbLi2Rh2 structure, as listed in Alexandria.

Values from the calculation:
space group: P4/mbm, No. 127
calculated formation energy: 294 meV per atom

Unit cell a=8.218 b=8.218 c=2.813 alpha=90.00 beta=90.00 gamma=90.00
Sites, in units of the cell vectors:
Rb 0.000 0.000 0.000
Rb 0.500 0.500 0.000
Li 0.164 0.336 0.500
Li 0.336 0.836 0.500
Li 0.664 0.164 0.500
Li 0.836 0.664 0.500
Rh 0.108 0.608 0.000
Rh 0.392 0.108 0.000
Rh 0.608 0.892 0.000
Rh 0.892 0.392 0.000

(13)
First-principles (PBE-GGA) data for a geometry-optimized ScMnCl2 structure, as listed in Alexandria.

Values from the calculation:
excess energy over the best structure of this formula in the dataset: 0.481 eV per atom
space group: I-4m2, No. 119
raw formation energy: -0.4319 eV per atom

Unit cell a=6.388 b=6.388 c=6.388 alpha=146.88 beta=146.88 gamma=47.55
Sites, in units of the cell vectors:
Sc 0.000 0.000 0.000
Mn 0.750 0.250 0.500
Cl 0.250 0.750 0.500
Cl 0.500 0.500 0.000

(14)
First-principles (PBE-GGA) data for a geometry-optimized Sc2GeC structure, as listed in Alexandria.

Values from the calculation:
space group: I-42d, No. 122
calculated formation energy: -194 meV per atom

Unit cell a=5.661 b=5.661 c=5.661 alpha=108.56 beta=108.56 gamma=111.30
Sites, in units of the cell vectors:
Sc 0.057 0.625 0.932
Sc 0.375 0.307 0.432
Sc 0.693 0.125 0.068
Sc 0.875 0.943 0.568
Ge 0.250 0.750 0.500
Ge 0.500 0.500 0.000
C 0.000 0.000 0.000
C 0.750 0.250 0.500

(15)
First-principles (PBE-GGA) data for a geometry-optimized BiSb3Te structure, as listed in Alexandria.

Values from the calculation:
excess energy over the best structure of this formula in the dataset: 0.190 eV per atom
space group: Pm-3m, No. 221
raw formation energy: 0.9728 eV per atom

Unit cell a=5.807 b=5.807 c=5.807 alpha=90.00 beta=90.00 gamma=90.00
Sites, in units of the cell vectors:
Bi 0.000 0.000 0.000
Sb 0.000 0.000 0.500
Sb 0.000 0.500 0.000
Sb 0.500 0.000 0.000
Te 0.500 0.500 0.500

(16)
First-principles (PBE-GGA) data for a geometry-optimized PtCl3 structure, as listed in Alexandria.

Values from the calculation:
space group: P4/mmm, No. 123
raw formation energy: 0.8652 eV per atom

Unit cell a=4.939 b=4.939 c=3.038 alpha=90.00 beta=90.00 gamma=90.00
Sites, in units of the cell vectors:
Pt 0.000 0.000 0.000
Cl 0.000 0.500 0.500
Cl 0.500 0.000 0.500
Cl 0.500 0.500 0.000

(17)
First-principles (PBE-GGA) data for a geometry-optimized La3ZnRh structure, as listed in Alexandria.

Values from the calculation:
excess energy over the best structure of this formula in the dataset: 0.222 eV per atom
space group: Pm-3m, No. 221
calculated formation energy: -208 meV per atom

Unit cell a=5.538 b=5.538 c=5.538 alpha=90.00 beta=90.00 gamma=90.00
Sites, in units of the cell vectors:
La 0.000 0.000 0.500
La 0.000 0.500 0.000
La 0.500 0.000 0.000
Zn 0.500 0.500 0.500
Rh 0.000 0.000 0.000

(18)
First-principles (PBE-GGA) data for a geometry-optimized Pr12Mg2Hg5 structure, as listed in Alexandria.

Values from the calculation:
space group: C2/m, No. 12
calculated formation energy: -182 meV per atom

Unit cell a=8.590 b=8.590 c=8.536 alpha=97.40 beta=97.40 gamma=73.46
Sites, in units of the cell vectors:
Pr 0.089 0.673 0.130
Pr 0.098 0.098 0.191
Pr 0.170 0.534 0.689
Pr 0.327 0.911 0.870
Pr 0.394 0.394 0.342
Pr 0.466 0.830 0.311
Pr 0.534 0.170 0.689
Pr 0.606 0.606 0.658
Pr 0.673 0.089 0.130
Pr 0.830 0.466 0.311
Pr 0.902 0.902 0.809
Pr 0.911 0.327 0.870
Mg 0.161 0.839 0.500
Mg 0.839 0.161 0.500
Hg 0.174 0.174 0.562
Hg 0.284 0.284 0.982
Hg 0.500 0.500 0.000
Hg 0.716 0.716 0.018
Hg 0.826 0.826 0.438

(19)
First-principles (PBE-GGA) data for a geometry-optimized Tb4GaAu3 structure, as listed in Alexandria.

Values from the calculation:
space group: Pmm2, No. 25
calculated formation energy: -788 meV per atom

Unit cell a=3.731 b=4.666 c=11.162 alpha=90.00 beta=90.00 gamma=90.00
Sites, in units of the cell vectors:
Tb 0.000 0.000 0.000
Tb 0.000 0.500 0.279
Tb 0.500 0.000 0.497
Tb 0.500 0.500 0.783
Ga 0.000 0.000 0.723
Au 0.000 0.500 0.558
Au 0.500 0.000 0.227
Au 0.500 0.500 0.054

(20)
First-principles (PBE-GGA) data for a geometry-optimized Li3HfNp2N6 structure, as listed in Alexandria.

Values from the calculation:
space group: C2/m, No. 12
raw formation energy: -1.0353 eV per atom

Unit cell a=7.101 b=7.101 c=6.430 alpha=99.10 beta=99.10 gamma=27.60
Sites, in units of the cell vectors:
Li 0.000 0.000 0.000
Li 0.341 0.341 0.673
Li 0.659 0.659 0.327
Hf 0.000 0.000 0.500
Np 0.335 0.335 0.179
Np 0.665 0.665 0.821
N 0.159 0.159 0.598
N 0.176 0.176 0.051
N 0.491 0.491 0.270
N 0.509 0.509 0.730
N 0.824 0.824 0.949
N 0.841 0.841 0.402

Q: Which calculated total energy values were calculated for the entries above? A: -3.52 -5.29 -3.54 -4.92 -5.51 -2.68 -2.65 -4.95 -7.30 -4.28 -5.35 -3.61 -5.23 -6.82 -2.91 -2.03 -4.89 -3.45 -4.71 -8.66, in eV/atom.